No. 1
DFT (PBE) results for a relaxed Be2Si2Ni3 crystal.

abc: 6.4164 6.4164 6.4164
angles: 34.25 34.25 34.25
Element x y z (fractional)
1 Be 0.0000 0.0000 0.0000
2 Be 0.4823 0.4823 0.4823
3 Si 0.2281 0.2281 0.2281
4 Si 0.7432 0.7432 0.7432
5 Ni 0.3591 0.3591 0.3591
6 Ni 0.6131 0.6131 0.6131
7 Ni 0.8667 0.8667 0.8667

Properties
The calculation puts the magnetic moment at 0.0 μB/f.u. For the electronic total energy, the calculation gives -5.468 eV per atom.

=====

No. 2
DFT (PBE) results for a relaxed BeSiNi2 crystal.

abc: 3.7698 3.7698 7.0938
angles: 90.00 90.00 120.00
Element x y z (fractional)
1 Be 0.0000 0.0000 0.2500
2 Be 0.0000 0.0000 0.7500
3 Si 0.3333 0.6667 0.2500
4 Si 0.6667 0.3333 0.7500
5 Ni 0.3333 0.6667 0.5861
6 Ni 0.3333 0.6667 0.9139
7 Ni 0.6667 0.3333 0.0861
8 Ni 0.6667 0.3333 0.4139

Properties
The calculation puts the magnetic moment at 0.0 μB/f.u. For the electronic total energy, the calculation gives -5.312 eV per atom.